Computed, not measured: an optimized crystal structure of Pr2Sn4Ir3Pt at the PBE level of DFT.

Lattice parameters (Å, degrees): 4.4922 4.4922 11.0163 90.00 90.00 90.00
Closest atoms and distances in Å follow each position.
Positions (direct):
Pr 0.0000 0.5000 0.2460  6 Ir 3.42-3.59, 8 Sn 3.44-3.52, 2 Pt 3.59
Pr 0.5000 0.0000 0.7540  6 Ir 3.42-3.59, 8 Sn 3.44-3.52, 2 Pt 3.59
Sn 0.0000 0.0000 0.0000  4 Ir 2.68
Sn 0.0000 0.5000 0.6335  3 Ir 2.58-2.68, 2 Pt 2.68
Sn 0.5000 0.0000 0.3665  3 Ir 2.58-2.68, 2 Pt 2.68
Sn 0.5000 0.5000 0.0000  4 Ir 2.68
Ir 0.0000 0.5000 0.8680  5 Sn 2.58-2.68
Ir 0.5000 0.0000 0.1320  5 Sn 2.58-2.68
Ir 0.5000 0.5000 0.5000  4 Sn 2.68
Pt 0.0000 0.0000 0.5000  4 Sn 2.68

E_tot = -6.43 eV per atom
total magnetic moment = 0.0 μB/f.u.
calculated density = 11.42 g/cm3